Entry 1:
Density functional theory data (PBE-GGA) for crystalline MgGaFeOs at its relaxed geometry.

Lattice parameters (Å, degrees): 4.322 4.322 4.322 60.00 60.00 60.00
Fractional coordinates of all 4 atoms:
Mg  0.000  0.000  0.000
Ga  0.750  0.750  0.750
Fe  0.250  0.250  0.250
Os  0.500  0.500  0.500

Entry 2:
Density functional theory data (PBE-GGA) for crystalline RbMgGa2Fe at its relaxed geometry.

Lattice parameters (Å, degrees): 4.746 4.746 5.072 90.00 90.00 90.00
Fractional coordinates of all 5 atoms:
Rb  0.000  0.000  0.000
Mg  0.500  0.500  0.000
Ga  0.000  0.500  0.500
Ga  0.500  0.000  0.500
Fe  0.500  0.500  0.500

Entry 3:
Density functional theory data (PBE-GGA) for crystalline Mg2GaFe2Rh5 at its relaxed geometry.

Lattice parameters (Å, degrees): 9.793 9.793 3.220 90.00 90.00 90.00
Fractional coordinates of all 20 atoms:
Mg  0.170  0.330  0.000
Mg  0.330  0.830  0.000
Mg  0.670  0.170  0.000
Mg  0.830  0.670  0.000
Ga  0.000  0.000  0.000
Ga  0.500  0.500  0.000
Fe  0.132  0.632  0.000
Fe  0.368  0.132  0.000
Fe  0.632  0.868  0.000
Fe  0.868  0.368  0.000
Rh  0.000  0.500  0.500
Rh  0.068  0.805  0.500
Rh  0.195  0.068  0.500
Rh  0.305  0.568  0.500
Rh  0.432  0.305  0.500
Rh  0.500  0.000  0.500
Rh  0.568  0.695  0.500
Rh  0.695  0.432  0.500
Rh  0.805  0.932  0.500
Rh  0.932  0.195  0.500

Entry 4:
Density functional theory data (PBE-GGA) for crystalline MgGaFeRu at its relaxed geometry.

Lattice parameters (Å, degrees): 4.326 4.326 4.326 60.00 60.00 60.00
Fractional coordinates of all 4 atoms:
Mg  0.000  0.000  0.000
Ga  0.750  0.750  0.750
Fe  0.250  0.250  0.250
Ru  0.500  0.500  0.500

Number 1: calculated total energy -24.3 eV/f.u.. Number 2: calculated total energy -16.8 eV/f.u.. Number 3: calculated total energy -61.8 eV/f.u.. Number 4: calculated total energy -22.7 eV/f.u..